# Cd2OsPbC

Cd2OsPbC at its PBEsol-relaxed geometry (SCAN, Alexandria).

Total moment in μB per atom: 0.325
SG: P4/mmm, No. 123
ΔE_f in meV per atom: 2571

a b c (Å): 5.445 5.445 4.132
angles (deg): 90.00 90.00 90.00
Atoms (fractional coordinates):
Cd: 0.000 0.500 0.000
Cd: 0.500 0.000 0.000
Os: 0.000 0.000 0.500
Pb: 0.500 0.500 0.000
C: 0.500 0.500 0.500


# Gd2TeO2

Gd2TeO2 at its PBEsol-relaxed geometry (SCAN, Alexandria).

Raw formation energy in eV per atom: -3.147
Total moment in μB per atom: 2.799
SG: I4/mmm, No. 139

a b c (Å): 6.814 6.814 6.814
angles (deg): 146.53 146.53 48.06
Atoms (fractional coordinates):
Gd: 0.160 0.160 0.000
Gd: 0.840 0.840 0.000
Te: 0.500 0.500 0.000
O: 0.250 0.750 0.500
O: 0.750 0.250 0.500


# Na3Sc2P3O12

Na3Sc2P3O12 at its PBEsol-relaxed geometry (SCAN, Alexandria).

Raw formation energy in eV per atom: -2.923
Total moment in μB per atom: 0.000
SG: R-3c, No. 167

a b c (Å): 9.293 9.293 9.293
angles (deg): 57.51 57.51 57.51
Atoms (fractional coordinates):
Na: 0.123 0.750 0.377
Na: 0.250 0.623 0.877
Na: 0.377 0.123 0.750
Na: 0.623 0.877 0.250
Na: 0.750 0.377 0.123
Na: 0.877 0.250 0.623
Sc: 0.151 0.151 0.151
Sc: 0.349 0.349 0.349
Sc: 0.651 0.651 0.651
Sc: 0.849 0.849 0.849
P: 0.039 0.461 0.750
P: 0.250 0.961 0.539
P: 0.461 0.750 0.039
P: 0.539 0.250 0.961
P: 0.750 0.039 0.461
P: 0.961 0.539 0.250
O: 0.018 0.638 0.749
O: 0.073 0.298 0.922
O: 0.078 0.927 0.702
O: 0.138 0.518 0.249
O: 0.202 0.427 0.578
O: 0.249 0.138 0.518
O: 0.251 0.982 0.362
O: 0.298 0.922 0.073
O: 0.362 0.251 0.982
O: 0.422 0.798 0.573
O: 0.427 0.578 0.202
O: 0.482 0.751 0.862
O: 0.518 0.249 0.138
O: 0.573 0.422 0.798
O: 0.578 0.202 0.427
O: 0.638 0.749 0.018
O: 0.702 0.078 0.927
O: 0.749 0.018 0.638
O: 0.751 0.862 0.482
O: 0.798 0.573 0.422
O: 0.862 0.482 0.751
O: 0.922 0.073 0.298
O: 0.927 0.702 0.078
O: 0.982 0.362 0.251


# CrOs5

CrOs5 at its PBEsol-relaxed geometry (SCAN, Alexandria).

Total moment in μB per atom: 0.000
SG: P-62m, No. 189
ΔE_f in meV per atom: -21

a b c (Å): 4.688 4.688 4.271
angles (deg): 90.00 90.00 120.00
Atoms (fractional coordinates):
Cr: 0.000 0.000 0.000
Os: 0.000 0.329 0.500
Os: 0.329 0.000 0.500
Os: 0.333 0.667 0.000
Os: 0.667 0.333 0.000
Os: 0.671 0.671 0.500


# BaZn2Ni

BaZn2Ni at its PBEsol-relaxed geometry (SCAN, Alexandria).

Total moment in μB per atom: 0.000
SG: P4/mmm, No. 123
ΔE_f in meV per atom: 96

a b c (Å): 3.180 3.180 7.459
angles (deg): 90.00 90.00 90.00
Atoms (fractional coordinates):
Ba: 0.000 0.000 0.000
Zn: 0.500 0.500 0.336
Zn: 0.500 0.500 0.664
Ni: 0.000 0.000 0.500


# CdInRe

CdInRe at its PBEsol-relaxed geometry (SCAN, Alexandria).

Total moment in μB per atom: 0.804
SG: F-43m, No. 216
ΔE_f in meV per atom: 1336

a b c (Å): 4.478 4.478 4.478
angles (deg): 60.00 60.00 60.00
Atoms (fractional coordinates):
Cd: 0.000 0.000 0.000
In: 0.250 0.250 0.250
Re: 0.750 0.750 0.750